1.
# BaAg6Pd6

A relaxed BaAg6Pd6 crystal (PBE, Alexandria via LeMat-Bulk).

Cell lengths 5.4202, 9.4942, 9.5124 Å; angles 90.00, 90.00, 90.00 degrees
Space group Immm (No. 71)
One atom of each set of equivalent atoms:
Ba: 0.0000 0.0000 0.0000
Ag: 0.0000 0.0000 0.3507
Ag: 0.0000 0.2798 0.5000
Ag: 0.0000 0.3548 0.0000
Pd: 0.0000 0.5000 0.2697
Pd: 0.2500 0.2500 0.2500

* energy relative to the elements: -0.163 eV/atom

=====

2.
# Sm6Ir2C

A relaxed Sm6Ir2C crystal (PBE, Alexandria via LeMat-Bulk).

Cell lengths 6.6491, 7.2998, 11.4987 Å; angles 90.00, 123.14, 90.00 degrees
Space group P2_1/c (No. 14)
One atom of each set of equivalent atoms:
Sm: 0.1169 0.0450 0.2437
Sm: 0.2369 0.6946 0.0654
Sm: 0.3699 0.1710 0.0587
Ir: 0.2983 0.0995 0.7577
C: 0.0000 0.0000 0.0000

* energy relative to the elements: -0.451 eV/atom

=====

3.
# TcMoSe2

A relaxed TcMoSe2 crystal (PBE, Alexandria via LeMat-Bulk).

Cell lengths 2.6355, 4.2144, 6.2216 Å; angles 90.00, 91.32, 90.00 degrees
Space group P2/m (No. 10)
One atom of each set of equivalent atoms:
Tc: 0.0000 0.0000 0.0000
Mo: 0.0000 0.0000 0.5000
Se: 0.0857 0.5000 0.2469

* formation energy from raw total energies: 0.5296 eV per atom
* energy above the most stable polymorph in this dataset: 715.6 meV/atom

=====

4.
# Tm8Ge5Au

A relaxed Tm8Ge5Au crystal (PBE, Alexandria via LeMat-Bulk).

Cell lengths 8.7062, 8.7062, 8.7668 Å; angles 90.00, 90.00, 90.00 degrees
Space group I-4 (No. 82)
One atom of each set of equivalent atoms:
Tm: 0.0664 0.1803 0.3066
Tm: 0.0694 0.3144 0.9374
Ge: 0.0000 0.0000 0.0000
Ge: 0.1276 0.2495 0.6230
Au: 0.0000 0.5000 0.2500

* energy relative to the elements: -0.798 eV/atom